Entry from Alexandria: a geometry-optimized SnPb2I structure (PBE-GGA).

Energy above the lowest structure with this stoichiometry (eV/atom): 0.000
Spin magnetization (μB/f.u.): 0.00
Calculated volume (Å³/f.u.): 144.3
Symmetry: No. 166
Formation energy without anion corrections (eV per atom): -0.100

The structure in CIF format:
```
data_SnPb2I
_symmetry_space_group_name_H-M 'P 1'
_symmetry_Int_Tables_number 1
_symmetry_space_group_name_Hall 'P 1'
_cell_length_a 4.5283
_cell_length_b 4.5283
_cell_length_c 8.5359
_cell_angle_alpha 74.62
_cell_angle_beta 74.62
_cell_angle_gamma 60.00
loop_
_atom_site_label
_atom_site_type_symbol
_atom_site_fract_x
_atom_site_fract_y
_atom_site_fract_z
Pb1 Pb 0.2640 0.2640 0.2079
Pb2 Pb 0.7360 0.7360 0.7921
I1 I 0.5000 0.5000 0.5000
Sn1 Sn 0.0000 0.0000 0.0000
```

---

Entry from Alexandria: a geometry-optimized SnPb2I structure (PBE-GGA).

Energy above the lowest structure with this stoichiometry (eV/atom): 0.253
Spin magnetization (μB/f.u.): 0.00
Calculated volume (Å³/f.u.): 194.1
Symmetry: No. 122
Formation energy without anion corrections (eV per atom): 0.153

The structure in CIF format:
```
data_SnPb2I
_symmetry_space_group_name_H-M 'P 1'
_symmetry_Int_Tables_number 1
_symmetry_space_group_name_Hall 'P 1'
_cell_length_a 7.0532
_cell_length_b 7.0532
_cell_length_c 9.2617
_cell_angle_alpha 67.62
_cell_angle_beta 67.62
_cell_angle_gamma 90.00
loop_
_atom_site_label
_atom_site_type_symbol
_atom_site_fract_x
_atom_site_fract_y
_atom_site_fract_z
Pb1 Pb 0.5921 0.1250 0.2500
Pb2 Pb 0.1579 0.6250 0.2500
Pb3 Pb 0.3750 0.4079 0.7500
Pb4 Pb 0.8750 0.8421 0.7500
I1 I 0.0000 0.0000 0.0000
I2 I 0.7500 0.2500 0.5000
Sn1 Sn 0.5000 0.5000 0.0000
Sn2 Sn 0.2500 0.7500 0.5000
```

---

Entry from Alexandria: a geometry-optimized SnPb2I2 structure (PBE-GGA).

Spin magnetization (μB/f.u.): 0.00
Calculated volume (Å³/f.u.): 183.1
Symmetry: No. 127
Formation energy without anion corrections (eV per atom): -0.087

The structure in CIF format:
```
data_SnPb2I2
_symmetry_space_group_name_H-M 'P 1'
_symmetry_Int_Tables_number 1
_symmetry_space_group_name_Hall 'P 1'
_cell_length_a 8.2473
_cell_length_b 8.2473
_cell_length_c 5.3850
_cell_angle_alpha 90.00
_cell_angle_beta 90.00
_cell_angle_gamma 90.00
loop_
_atom_site_label
_atom_site_type_symbol
_atom_site_fract_x
_atom_site_fract_y
_atom_site_fract_z
Pb1 Pb 0.3534 0.8534 0.0000
Pb2 Pb 0.8534 0.6466 0.0000
Pb3 Pb 0.6466 0.1466 0.0000
Pb4 Pb 0.1466 0.3534 0.0000
I1 I 0.1886 0.6886 0.5000
I2 I 0.6886 0.8114 0.5000
I3 I 0.8114 0.3114 0.5000
I4 I 0.3114 0.1886 0.5000
Sn1 Sn 0.0000 0.0000 0.0000
Sn2 Sn 0.5000 0.5000 0.0000
```

---

Entry from Alexandria: a geometry-optimized Sn5PbI12 structure (PBE-GGA).

Spin magnetization (μB/f.u.): 0.00
Calculated volume (Å³/f.u.): 841.6
Symmetry: No. 12
Formation energy without anion corrections (eV per atom): -0.533

The structure in CIF format:
```
data_Sn5PbI12
_symmetry_space_group_name_H-M 'P 1'
_symmetry_Int_Tables_number 1
_symmetry_space_group_name_Hall 'P 1'
_cell_length_a 7.9169
_cell_length_b 7.9340
_cell_length_c 15.4608
_cell_angle_alpha 89.97
_cell_angle_beta 89.94
_cell_angle_gamma 60.07
loop_
_atom_site_label
_atom_site_type_symbol
_atom_site_fract_x
_atom_site_fract_y
_atom_site_fract_z
Sn1 Sn 0.5000 0.0000 0.5000
Sn2 Sn 0.1666 0.6668 0.5000
Sn3 Sn 0.8334 0.3333 0.5000
Sn4 Sn 0.6667 0.6666 0.0000
Sn5 Sn 0.3333 0.3334 0.0000
Pb1 Pb 0.0000 0.0000 0.0000
I1 I 0.8337 0.0000 0.3806
I2 I 0.1663 0.0000 0.6194
I3 I 0.6616 0.0000 0.8792
I4 I 0.3384 0.0000 0.1208
I5 I 0.3380 0.6619 0.8792
I6 I 0.0001 0.6619 0.1208
I7 I 0.9999 0.3381 0.8792
I8 I 0.6620 0.3381 0.1208
I9 I 0.4995 0.3334 0.6193
I10 I 0.8329 0.6666 0.6193
I11 I 0.1671 0.3334 0.3807
I12 I 0.5005 0.6666 0.3807
```

---

Entry from Alexandria: a geometry-optimized Sn2PbI6 structure (PBE-GGA).

Energy above the lowest structure with this stoichiometry (eV/atom): 0.024
Spin magnetization (μB/f.u.): 0.00
Calculated volume (Å³/f.u.): 427.1
Symmetry: No. 146
Formation energy without anion corrections (eV per atom): -0.532

The structure in CIF format:
```
data_Sn2PbI6
_symmetry_space_group_name_H-M 'P 1'
_symmetry_Int_Tables_number 1
_symmetry_space_group_name_Hall 'P 1'
_cell_length_a 7.9902
_cell_length_b 7.9902
_cell_length_c 8.9980
_cell_angle_alpha 63.64
_cell_angle_beta 63.64
_cell_angle_gamma 60.00
loop_
_atom_site_label
_atom_site_type_symbol
_atom_site_fract_x
_atom_site_fract_y
_atom_site_fract_z
Sn1 Sn 0.6918 0.6918 0.9246
Sn2 Sn 0.5172 0.5172 0.4483
Pb1 Pb 0.3430 0.3430 0.9710
I1 I 0.7495 0.4236 0.7045
I2 I 0.1224 0.7495 0.7045
I3 I 0.4236 0.1224 0.7045
I4 I 0.2872 0.6249 0.1819
I5 I 0.9061 0.2872 0.1819
I6 I 0.6249 0.9061 0.1819
```

---

Entry from Alexandria: a geometry-optimized Sn2PbI structure (PBE-GGA).

Energy above the lowest structure with this stoichiometry (eV/atom): 0.152
Spin magnetization (μB/f.u.): 0.00
Calculated volume (Å³/f.u.): 178.7
Symmetry: No. 122
Formation energy without anion corrections (eV per atom): 0.288

The structure in CIF format:
```
data_Sn2PbI
_symmetry_space_group_name_H-M 'P 1'
_symmetry_Int_Tables_number 1
_symmetry_space_group_name_Hall 'P 1'
_cell_length_a 6.5294
_cell_length_b 6.5294
_cell_length_c 9.5705
_cell_angle_alpha 70.05
_cell_angle_beta 70.05
_cell_angle_gamma 90.00
loop_
_atom_site_label
_atom_site_type_symbol
_atom_site_fract_x
_atom_site_fract_y
_atom_site_fract_z
Pb1 Pb 0.0000 0.0000 0.0000
Pb2 Pb 0.7500 0.2500 0.5000
I1 I 0.5000 0.5000 0.0000
I2 I 0.2500 0.7500 0.5000
Sn1 Sn 0.6498 0.1250 0.2500
Sn2 Sn 0.1002 0.6250 0.2500
Sn3 Sn 0.3750 0.3502 0.7500
Sn4 Sn 0.8750 0.8998 0.7500
```

---

Entry from Alexandria: a geometry-optimized SnPbI3 structure (PBE-GGA).

Spin magnetization (μB/f.u.): 1.00
Calculated volume (Å³/f.u.): 227.6
Symmetry: No. 221
Formation energy without anion corrections (eV per atom): -0.074

The structure in CIF format:
```
data_SnPbI3
_symmetry_space_group_name_H-M 'P 1'
_symmetry_Int_Tables_number 1
_symmetry_space_group_name_Hall 'P 1'
_cell_length_a 6.1054
_cell_length_b 6.1054
_cell_length_c 6.1054
_cell_angle_alpha 90.00
_cell_angle_beta 90.00
_cell_angle_gamma 90.00
loop_
_atom_site_label
_atom_site_type_symbol
_atom_site_fract_x
_atom_site_fract_y
_atom_site_fract_z
Pb1 Pb 0.5000 0.5000 0.5000
I1 I 0.0000 0.5000 0.0000
I2 I 0.0000 0.0000 0.5000
I3 I 0.5000 0.0000 0.0000
Sn1 Sn 0.0000 0.0000 0.0000
```

---

Entry from Alexandria: a geometry-optimized Sn2PbI6 structure (PBE-GGA).

Energy above the lowest structure with this stoichiometry (eV/atom): 0.000
Spin magnetization (μB/f.u.): 0.00
Calculated volume (Å³/f.u.): 411.7
Symmetry: No. 162
Formation energy without anion corrections (eV per atom): -0.556

The structure in CIF format:
```
data_Sn2PbI6
_symmetry_space_group_name_H-M 'P 1'
_symmetry_Int_Tables_number 1
_symmetry_space_group_name_Hall 'P 1'
_cell_length_a 7.4891
_cell_length_b 7.9677
_cell_length_c 7.9677
_cell_angle_alpha 120.00
_cell_angle_beta 90.00
_cell_angle_gamma 90.00
loop_
_atom_site_label
_atom_site_type_symbol
_atom_site_fract_x
_atom_site_fract_y
_atom_site_fract_z
Sn1 Sn 0.5000 0.3333 0.6667
Sn2 Sn 0.5000 0.6667 0.3333
Pb1 Pb 0.5000 0.0000 0.0000
I1 I 0.2524 0.6618 0.0000
I2 I 0.2524 0.3382 0.3382
I3 I 0.2524 0.0000 0.6618
I4 I 0.7476 0.3382 0.0000
I5 I 0.7476 0.6618 0.6618
I6 I 0.7476 0.0000 0.3382
```